# 1
## YMgCdAu (PBE)

Data for a relaxed structure of YMgCdAu.

Lattice parameters (Å, degrees): 7.054 7.054 7.054 90.00 90.00 90.00
Atoms (fractional coordinates):
Y (0.000, 0.000, 0.000)
Y (0.000, 0.500, 0.500)
Y (0.500, 0.000, 0.500)
Y (0.500, 0.500, 0.000)
Mg (0.000, 0.000, 0.500)
Mg (0.000, 0.500, 0.000)
Mg (0.500, 0.000, 0.000)
Mg (0.500, 0.500, 0.500)
Cd (0.250, 0.250, 0.250)
Cd (0.250, 0.750, 0.750)
Cd (0.750, 0.250, 0.750)
Cd (0.750, 0.750, 0.250)
Au (0.250, 0.250, 0.750)
Au (0.250, 0.750, 0.250)
Au (0.750, 0.250, 0.250)
Au (0.750, 0.750, 0.750)

Properties
calculated total energy = -3.6125 eV per atom
V = 350.99 Å³ per cell
mass density = 8.0 Mg/m³
DOS at the Fermi energy = 0.341 states/eV/atom
symmetry = F-43m
M_tot = 0.000 μB per cell



# 2
## YMg2CdAu4 (PBE)

Data for a relaxed structure of YMg2CdAu4.

Lattice parameters (Å, degrees): 8.759 8.759 8.759 31.37 31.37 31.37
Atoms (fractional coordinates):
Y (0.000, 0.000, 0.000)
Mg (0.243, 0.243, 0.243)
Mg (0.757, 0.757, 0.757)
Cd (0.500, 0.500, 0.500)
Au (0.121, 0.121, 0.121)
Au (0.385, 0.385, 0.385)
Au (0.615, 0.615, 0.615)
Au (0.879, 0.879, 0.879)

Properties
calculated total energy = -3.5315 eV per atom
V = 161.71 Å³ per cell
mass density = 10.7 Mg/m³
DOS at the Fermi energy = 0.443 states/eV/atom
symmetry = R-3m
M_tot = 0.000 μB per cell